# 1
Density functional theory data (SCAN) for Cr2CdRh at its PBEsol-relaxed geometry.

Computed properties:
**ΔH_f (0 K)**: 0.23 eV per atom
**Spin magnetization**: 0.00 μB/f.u.
**Symmetry**: R3m, No. 160
**Total DFT energy (no corrections)**: -100.04 eV/cell

a = 8.467 Å, b = 8.467 Å, c = 8.467 Å
α = 18.96°, β = 18.96°, γ = 18.96°
Fractional coordinates of all 4 atoms:
Cr1 0.000 0.000 0.000
Cr2 0.272 0.272 0.272
Cd1 0.508 0.508 0.508
Rh1 0.746 0.746 0.746



# 2
Density functional theory data (SCAN) for Cr2InAu at its PBEsol-relaxed geometry.

Computed properties:
**ΔH_f (0 K)**: 0.39 eV per atom
**Spin magnetization**: 0.75 μB/f.u.
**Symmetry**: I4/mmm, No. 139
**Total DFT energy (no corrections)**: -137.76 eV/cell

a = 4.908 Å, b = 4.908 Å, c = 4.908 Å
α = 134.46°, β = 134.46°, γ = 66.36°
Fractional coordinates of all 4 atoms:
Cr1 0.250 0.750 0.500
Cr2 0.750 0.250 0.500
In1 0.000 0.000 0.000
Au1 0.500 0.500 0.000



# 3
Density functional theory data (SCAN) for CaSiP3 at its PBEsol-relaxed geometry.

Computed properties:
**Spin magnetization**: 0.00 μB/f.u.
**Symmetry**: P4/mbm, No. 127
**Total DFT energy (no corrections)**: -103.93 eV/cell
**Formation energy from raw total energies**: -20.98 kJ per mole of atoms

a = 5.927 Å, b = 5.927 Å, c = 5.317 Å
α = 90.00°, β = 90.00°, γ = 90.00°
Fractional coordinates of all 10 atoms:
Ca1 0.000 0.500 0.000
Ca2 0.500 0.000 0.000
Si1 0.000 0.000 0.500
Si2 0.500 0.500 0.500
P1 0.000 0.000 0.000
P2 0.126 0.374 0.500
P3 0.374 0.874 0.500
P4 0.500 0.500 0.000
P5 0.626 0.126 0.500
P6 0.874 0.626 0.500



# 4
Density functional theory data (SCAN) for Cd2PtW at its PBEsol-relaxed geometry.

Computed properties:
**Excess energy over the best structure of this formula in the dataset**: 0.149 eV per atom
**ΔH_f (0 K)**: 0.63 eV per atom
**Spin magnetization**: 2.38 μB/f.u.
**Symmetry**: Fm-3m, No. 225
**Total DFT energy (no corrections)**: -198.19 eV/cell

a = 4.592 Å, b = 4.592 Å, c = 4.592 Å
α = 60.00°, β = 60.00°, γ = 60.00°
Fractional coordinates of all 4 atoms:
Cd1 0.250 0.250 0.250
Cd2 0.750 0.750 0.750
Pt1 0.000 0.000 0.000
W1 0.500 0.500 0.500



# 5
Density functional theory data (SCAN) for Nd2BiO2 at its PBEsol-relaxed geometry.

Computed properties:
**Spin magnetization**: 0.00 μB/f.u.
**Symmetry**: I4/mmm, No. 139
**Total DFT energy (no corrections)**: -192.45 eV/cell
**Formation energy from raw total energies**: -274.89 kJ per mole of atoms

a = 7.459 Å, b = 7.459 Å, c = 7.459 Å
α = 149.12°, β = 149.12°, γ = 44.23°
Fractional coordinates of all 5 atoms:
Nd1 0.165 0.165 0.000
Nd2 0.835 0.835 0.000
Bi1 0.500 0.500 0.000
O1 0.250 0.750 0.500
O2 0.750 0.250 0.500



# 6
Density functional theory data (SCAN) for FeSn3Se at its PBEsol-relaxed geometry.

Computed properties:
**Spin magnetization**: 0.00 μB/f.u.
**Symmetry**: Pm-3m, No. 221
**Total DFT energy (no corrections)**: -146.04 eV/cell
**Formation energy from raw total energies**: -1.30 kJ per mole of atoms

a = 4.842 Å, b = 4.842 Å, c = 4.842 Å
α = 90.00°, β = 90.00°, γ = 90.00°
Fractional coordinates of all 5 atoms:
Fe1 0.000 0.000 0.000
Sn1 0.000 0.000 0.500
Sn2 0.000 0.500 0.000
Sn3 0.500 0.000 0.000
Se1 0.500 0.500 0.500